Record 1
A plane-wave DFT calculation with PBE-GGA was carried out for a relaxed structure of Zr2Si2Sb.

Geometry as POSCAR:
```
Zr2Si2Sb
1.0
7.506 0.000 0.000
0.000 7.506 0.000
0.000 0.000 3.691
Sb Si Zr
2 4 4
Direct
0.000 0.000 0.000 Sb
0.500 0.500 0.000 Sb
0.115 0.615 0.500 Si
0.615 0.885 0.500 Si
0.885 0.385 0.500 Si
0.385 0.115 0.500 Si
0.328 0.828 0.000 Zr
0.828 0.672 0.000 Zr
0.672 0.172 0.000 Zr
0.172 0.328 0.000 Zr
```

Values from the calculation:
energy relative to the elements, uncorrected	-398	meV per atom
polymorph energy (0 for the lowest one)	216	meV/atom

=====

Record 2
A plane-wave DFT calculation with PBE-GGA was carried out for a relaxed structure of CaCeMgZn.

Geometry as POSCAR:
```
CaCeMgZn
1.0
5.331 0.000 0.000
2.666 4.617 0.000
2.666 1.539 4.353
Mg Zn Ca Ce
1 1 1 1
Direct
0.000 0.000 0.000 Mg
0.500 0.500 0.500 Zn
0.250 0.250 0.250 Ca
0.750 0.750 0.750 Ce
```

Values from the calculation:
formation energy	-63.7	meV/atom

=====

Record 3
A plane-wave DFT calculation with PBE-GGA was carried out for a relaxed structure of Ni2SbP.

Geometry as POSCAR:
```
Ni2SbP
1.0
5.710 -1.882 0.018
5.710 1.882 0.018
5.080 0.000 3.217
Ni Sb P
2 1 1
Direct
0.028 0.028 0.028 Ni
0.765 0.765 0.765 Ni
0.272 0.272 0.272 Sb
0.434 0.434 0.434 P
```

Values from the calculation:
energy relative to the elements, uncorrected	-117	meV per atom
polymorph energy (0 for the lowest one)	195	meV/atom

=====

Record 4
A plane-wave DFT calculation with PBE-GGA was carried out for a relaxed structure of K2NaCdAg.

Geometry as POSCAR:
```
K2NaCdAg
1.0
6.420 0.000 0.000
0.000 6.420 0.000
0.000 0.000 5.702
Na K Ag Cd
1 2 1 1
Direct
0.000 0.000 0.500 Na
0.000 0.500 0.000 K
0.500 0.000 0.000 K
0.000 0.000 0.000 Ag
0.500 0.500 0.500 Cd
```

Values from the calculation:
polymorph energy (0 for the lowest one)	73	meV/atom
formation energy	139.8	meV/atom

=====

Record 5
A plane-wave DFT calculation with PBE-GGA was carried out for a relaxed structure of Tb2HoPd.

Geometry as POSCAR:
```
Tb2HoPd
1.0
3.785 0.001 0.000
-1.891 6.090 0.000
0.000 0.000 9.421
Tb Ho Pd
4 2 2
Direct
0.365 0.730 0.560 Tb
0.635 0.270 0.440 Tb
0.365 0.730 0.940 Tb
0.635 0.270 0.060 Tb
0.935 0.869 0.250 Ho
0.065 0.131 0.750 Ho
0.762 0.524 0.750 Pd
0.238 0.476 0.250 Pd
```

Values from the calculation:
polymorph energy (0 for the lowest one)	20	meV/atom
formation energy	-449.2	meV/atom

=====

Record 6
A plane-wave DFT calculation with PBE-GGA was carried out for a relaxed structure of ErThGaOs.

Geometry as POSCAR:
```
ErThGaOs
1.0
5.023 0.000 0.000
2.511 4.350 0.000
2.511 1.450 4.101
Os Ga Th Er
1 1 1 1
Direct
0.750 0.750 0.750 Os
0.250 0.250 0.250 Ga
0.500 0.500 0.500 Th
0.000 0.000 0.000 Er
```

Values from the calculation:
polymorph energy (0 for the lowest one)	188	meV/atom
formation energy	-311.0	meV/atom

=====

Record 7
A plane-wave DFT calculation with PBE-GGA was carried out for a relaxed structure of PaFe2Mo.

Geometry as POSCAR:
```
PaFe2Mo
1.0
-0.274 1.300 4.138
-3.791 -0.251 2.110
-0.407 -3.438 3.336
Mo Pa Fe
1 1 2
Direct
0.500 0.500 0.500 Mo
0.000 0.000 0.000 Pa
0.807 0.807 0.580 Fe
0.193 0.193 0.420 Fe
```

Values from the calculation:
polymorph energy (0 for the lowest one)	64	meV/atom
formation energy	121.3	meV/atom

=====

Record 8
A plane-wave DFT calculation with PBE-GGA was carried out for a relaxed structure of Tl2H3Se.

Geometry as POSCAR:
```
Tl2H3Se
1.0
-1.364 2.408 -2.648
-1.763 -1.302 -3.141
-16.285 -0.085 13.799
Tl H Se
4 6 2
Direct
0.868 0.425 0.132 Tl
0.575 0.132 0.368 Tl
0.132 0.575 0.868 Tl
0.425 0.868 0.632 Tl
0.033 0.487 0.518 H
0.513 0.967 0.982 H
0.967 0.513 0.482 H
0.487 0.033 0.018 H
0.530 0.470 0.250 H
0.470 0.530 0.750 H
0.133 0.867 0.250 Se
0.867 0.133 0.750 Se
```

Values from the calculation:
calculated total energy	-36.49	eV/cell

=====

Record 9
A plane-wave DFT calculation with PBE-GGA was carried out for a relaxed structure of Os2RhPb.

Geometry as POSCAR:
```
Os2RhPb
1.0
-2.022 2.022 3.975
2.022 -2.022 3.975
2.022 2.022 -3.975
Os Rh Pb
2 1 1
Direct
0.750 0.250 0.500 Os
0.250 0.750 0.500 Os
0.000 0.000 0.000 Rh
0.500 0.500 0.000 Pb
```

Values from the calculation:
formation energy	744.9	meV/atom

=====

Record 10
A plane-wave DFT calculation with PBE-GGA was carried out for a relaxed structure of Yb5Zr3Ni16As12.

Geometry as POSCAR:
```
Yb5Zr3Ni16As12
1.0
-10.540 -5.014 -5.285
1.495 -0.184 12.723
-1.789 3.487 0.261
Yb Zr Ni As
5 3 16 12
Direct
0.000 0.183 0.500 Yb
0.817 0.817 0.500 Yb
0.183 0.000 0.500 Yb
0.667 0.333 0.000 Yb
0.333 0.667 0.000 Yb
0.000 0.563 0.000 Zr
0.437 0.437 0.000 Zr
0.563 0.000 0.000 Zr
0.000 0.722 0.500 Ni
0.278 0.278 0.500 Ni
0.722 0.000 0.500 Ni
0.806 0.183 0.000 Ni
0.817 0.622 0.000 Ni
0.378 0.194 0.000 Ni
0.183 0.806 0.000 Ni
0.622 0.817 0.000 Ni
0.194 0.378 0.000 Ni
0.880 0.362 0.500 Ni
0.638 0.518 0.500 Ni
0.482 0.120 0.500 Ni
0.362 0.880 0.500 Ni
0.518 0.638 0.500 Ni
0.120 0.482 0.500 Ni
0.000 0.000 0.000 Ni
0.000 0.821 0.000 As
0.179 0.179 0.000 As
0.821 0.000 0.000 As
0.693 0.173 0.500 As
0.827 0.520 0.500 As
0.480 0.307 0.500 As
0.173 0.693 0.500 As
0.520 0.827 0.500 As
0.307 0.480 0.500 As
0.000 0.354 0.000 As
0.646 0.646 0.000 As
0.354 0.000 0.000 As
```

Values from the calculation:
formation energy	-775.9	meV/atom

=====

Record 11
A plane-wave DFT calculation with PBE-GGA was carried out for a relaxed structure of AcAu6.

Geometry as POSCAR:
```
AcAu6
1.0
5.898 0.000 0.000
0.000 9.039 0.000
0.000 0.000 11.355
Ac Au
4 24
Direct
0.750 0.237 0.936 Ac
0.250 0.763 0.064 Ac
0.750 0.737 0.564 Ac
0.250 0.263 0.436 Ac
0.750 0.603 0.020 Au
0.250 0.397 0.980 Au
0.750 0.103 0.480 Au
0.250 0.897 0.520 Au
0.012 0.440 0.194 Au
0.512 0.560 0.806 Au
0.488 0.940 0.306 Au
0.988 0.060 0.694 Au
0.988 0.560 0.806 Au
0.488 0.440 0.194 Au
0.512 0.060 0.694 Au
0.012 0.940 0.306 Au
0.250 0.150 0.149 Au
0.750 0.850 0.851 Au
0.250 0.650 0.351 Au
0.750 0.350 0.649 Au
0.250 0.816 0.771 Au
0.750 0.184 0.229 Au
0.250 0.316 0.729 Au
0.750 0.684 0.271 Au
0.250 0.574 0.588 Au
0.750 0.426 0.412 Au
0.250 0.074 0.912 Au
0.750 0.926 0.088 Au
```

Values from the calculation:
polymorph energy (0 for the lowest one)	0	meV/atom
formation energy	-448.8	meV/atom

=====

Record 12
A plane-wave DFT calculation with PBE-GGA was carried out for a relaxed structure of CaPr2Ho.

Geometry as POSCAR:
```
CaPr2Ho
1.0
3.673 0.000 0.000
1.837 3.181 0.000
1.837 1.060 12.258
Ca Pr Ho
1 2 1
Direct
0.500 0.500 0.500 Ca
0.078 0.078 0.765 Pr
0.255 0.255 0.235 Pr
0.667 0.667 0.000 Ho
```

Values from the calculation:
polymorph energy (0 for the lowest one)	5	meV/atom
formation energy	34.0	meV/atom